DFT (meta-GGA SCAN) results for NaMgP at its PBEsol-relaxed geometry.

Cell and atoms, written as extended XYZ:
```
12
Lattice="6.2734 0.0000 0.0000 0.0000 6.2734 0.0000 0.0000 0.0000 6.2734" Properties=species:S:1:pos:R:3 pbc="T T T"
Na 0.0000 0.0000 0.0000
Na 0.0000 3.1367 3.1367
Na 3.1367 0.0000 3.1367
Na 3.1367 3.1367 0.0000
Mg 1.5683 1.5683 1.5683
Mg 1.5683 4.7050 4.7050
Mg 4.7050 1.5683 4.7050
Mg 4.7050 4.7050 1.5683
P 1.5683 1.5683 4.7050
P 1.5683 4.7050 1.5683
P 4.7050 1.5683 1.5683
P 4.7050 4.7050 4.7050
```

Results
crystal system	cubic
uncorrected energy	-0.23895	hartree per atom
calculated formation energy	8	kJ/mol of formula units
volume	61.7	Å³/f.u.
space group	F-43m, No. 216